# 1
This record from Alexandria via LeMat-Bulk describes a relaxed structure of PaCuTe2. The functional is PBE.

Structure (POSCAR):
```
PaCuTe2
1.0
4.154 0.003 0.000
-0.002 7.412 -0.127
-2.073 -3.768 4.031
Pa Cu Te
1 1 2
direct
0.595 0.830 0.189
0.247 0.787 0.494
0.336 0.241 0.672
0.823 0.678 0.645
```

M_tot	0.00	μB/cell
formation energy (no corrections)	-0.320	eV per atom

---

# 2
This record from Alexandria via LeMat-Bulk describes a relaxed structure of PaCu2Te4. The functional is PBE.

Structure (POSCAR):
```
PaCu2Te4
1.0
-6.218 0.322 5.388
4.049 -6.498 2.725
3.732 7.223 -0.086
Pa Cu Te
2 4 8
direct
0.121 0.620 0.509
0.126 0.131 0.008
0.650 0.404 0.757
0.624 0.876 0.258
0.553 0.363 0.186
0.132 0.314 0.698
0.934 0.164 0.276
0.337 0.590 0.264
0.926 0.677 0.768
0.821 0.141 0.691
0.462 0.147 0.323
0.328 0.089 0.749
0.436 0.620 0.826
0.800 0.615 0.188
```

M_tot	0.00	μB/cell
formation energy (no corrections)	-0.316	eV per atom

---

# 3
This record from Alexandria via LeMat-Bulk describes a relaxed structure of PaTlCuTe3. The functional is PBE.

Structure (POSCAR):
```
PaTlCuTe3
1.0
-2.961 2.907 -0.978
-3.865 -0.918 8.973
7.043 7.194 0.057
Pa Tl Cu Te
2 2 2 6
direct
0.250 0.682 0.163
0.750 0.318 0.837
0.250 0.200 0.239
0.750 0.800 0.761
0.250 0.085 0.593
0.750 0.915 0.407
0.750 0.896 0.136
0.250 0.104 0.864
0.250 0.793 0.479
0.750 0.207 0.521
0.750 0.454 0.166
0.250 0.546 0.834
```

M_tot	2.01	μB/cell
formation energy (no corrections)	-0.549	eV per atom

---

# 4
This record from Alexandria via LeMat-Bulk describes a relaxed structure of Pa3Tl3CuTe8. The functional is PBE.

Structure (POSCAR):
```
Pa3Tl3CuTe8
1.0
9.057 0.000 0.000
-4.528 7.256 0.112
0.000 -4.644 8.253
Pa Tl Cu Te
3 3 1 8
direct
0.500 0.000 0.500
0.500 0.500 0.500
0.000 0.500 0.500
0.000 0.000 0.000
0.000 0.500 0.000
0.500 0.500 0.000
0.000 0.000 0.500
0.259 0.518 0.281
0.741 0.482 0.719
0.796 0.593 0.316
0.204 0.407 0.684
0.750 0.034 0.280
0.250 0.966 0.720
0.284 0.034 0.280
0.716 0.966 0.720
```

M_tot	3.00	μB/cell
formation energy (no corrections)	-0.529	eV per atom

---

# 5
This record from Alexandria via LeMat-Bulk describes a relaxed structure of PaTlCuTe4. The functional is PBE.

Structure (POSCAR):
```
PaTlCuTe4
1.0
-0.803 -7.053 2.323
2.482 1.536 5.522
-8.192 4.941 2.309
Pa Tl Cu Te
2 2 2 8
direct
0.727 0.750 0.440
0.273 0.250 0.560
0.751 0.750 0.947
0.249 0.250 0.053
0.277 0.750 0.333
0.723 0.250 0.667
0.016 0.504 0.708
0.984 0.004 0.292
0.984 0.496 0.292
0.016 0.996 0.708
0.448 0.750 0.146
0.552 0.250 0.854
0.433 0.750 0.603
0.567 0.250 0.397
```

M_tot	0.52	μB/cell
formation energy (no corrections)	-0.528	eV per atom

---

# 6
This record from Alexandria via LeMat-Bulk describes a relaxed structure of PaTl2Cu2Te4. The functional is PBE.

Structure (POSCAR):
```
PaTl2Cu2Te4
1.0
4.256 0.000 0.000
0.000 8.582 0.555
-2.128 -2.924 7.216
Pa Tl Cu Te
1 2 2 4
direct
0.000 0.000 0.000
0.136 0.564 0.273
0.864 0.436 0.727
0.681 0.992 0.362
0.319 0.008 0.638
0.203 0.186 0.406
0.797 0.814 0.594
0.524 0.757 0.047
0.476 0.243 0.953
```

M_tot	0.99	μB/cell
formation energy (no corrections)	-0.439	eV per atom

---

# 7
This record from Alexandria via LeMat-Bulk describes a relaxed structure of PaTl3Cu2Te6. The functional is PBE.

Structure (POSCAR):
```
PaTl3Cu2Te6
1.0
6.937 0.582 -0.032
-2.963 6.299 -0.032
-1.366 -2.365 8.394
Pa Tl Cu Te
1 3 2 6
direct
0.000 0.000 0.000
0.148 0.852 0.500
0.852 0.148 0.500
0.500 0.500 0.500
0.322 0.678 0.000
0.678 0.322 0.000
0.976 0.611 0.781
0.697 0.697 0.163
0.024 0.389 0.219
0.611 0.976 0.781
0.303 0.303 0.837
0.389 0.024 0.219
```

M_tot	0.00	μB/cell
formation energy (no corrections)	-0.309	eV per atom

---

# 8
This record from Alexandria via LeMat-Bulk describes a relaxed structure of ThPaCu. The functional is PBE.

Structure (POSCAR):
```
ThPaCu
1.0
-1.373 2.170 2.277
0.325 -2.373 2.458
10.907 4.180 2.592
Pa Th Cu
2 2 2
direct
0.000 0.500 0.591
0.500 0.000 0.409
0.000 0.500 0.205
0.500 0.000 0.795
0.500 0.000 0.046
0.000 0.500 0.954
```

M_tot	0.00	μB/cell
formation enthalpy at 0 K	64	meV/atom